The following is a DFT calculation (PBE-GGA) of a relaxed structure of ZnRu.

```
ZnRu
1.0
-0.447 -0.677 3.852
-0.657 -3.589 -2.719
2.945 -2.609 -0.117
Ru Zn
2 2
Direct
0.000 0.000 0.000 Ru
0.750 0.500 0.750 Ru
0.250 0.500 0.250 Zn
0.500 0.000 0.500 Zn
```

Output
Density of states at the Fermi level, states/eV per cell: 5.0
Space group: I4_1/amd
Crystal system: tetragonal
Magnetic moment, μB/cell: 0.00
DFT formation energy, eV/atom: 0.0753
Raw total energy, hartree per atom: -0.1911